1.
A plane-wave DFT calculation with PBE was carried out for a geometry-optimized Ba3SrGa2O6 structure.

Total energy   -5.77 eV per atom

Lattice parameters (Å, degrees): 6.239 6.239 7.121 90.00 90.00 120.00
Each line ends with the local moment (μB).
Atoms (fractional coordinates):
O (0.824, 0.647, 0.708)  0.07
Ba (0.667, 0.333, 0.356)  0.03
O (0.647, 0.824, 0.292)  0.07
Ba (0.000, 0.000, 0.000)  0.01
O (0.824, 0.176, 0.708)  0.07
O (0.176, 0.824, 0.292)  0.07
Ga (0.667, 0.333, 0.818)  0.15
O (0.353, 0.176, 0.708)  0.07
O (0.176, 0.353, 0.292)  0.07
Sr (0.000, 0.000, 0.500)  0.02
Ga (0.333, 0.667, 0.182)  0.15
Ba (0.333, 0.667, 0.644)  0.03


2.
A plane-wave DFT calculation with PBE was carried out for a geometry-optimized Pm2Sm3YAs6 structure.

Energy relative to the elements   -1.530 eV per atom

Lattice parameters (Å, degrees): 4.210 8.414 9.408 102.92 102.93 90.00
Atoms (fractional coordinates):
Y (0.500, 0.000, 0.000)
Sm (0.833, 0.166, 0.666)
As (0.999, 0.246, 0.999)
As (0.335, 0.919, 0.670)
As (0.001, 0.754, 0.001)
As (0.665, 0.081, 0.330)
Sm (0.500, 0.500, 0.000)
Sm (0.167, 0.834, 0.334)
Pm (0.166, 0.332, 0.332)
As (0.666, 0.584, 0.333)
Pm (0.834, 0.668, 0.668)
As (0.334, 0.416, 0.667)


3.
A plane-wave DFT calculation with PBE was carried out for a geometry-optimized HfScZnIn structure.

Energy relative to the elements   -0.214 eV per atom

Lattice parameters (Å, degrees): 4.857 4.857 4.857 60.00 60.00 60.00
Atoms (fractional coordinates):
Zn (0.000, 0.000, 0.000)
Hf (0.250, 0.250, 0.250)
In (0.500, 0.500, 0.500)
Sc (0.750, 0.750, 0.750)


4.
A plane-wave DFT calculation with PBE was carried out for a geometry-optimized AcY4Tm3 structure.

Energy relative to the elements   0.128 eV per atom

Lattice parameters (Å, degrees): 3.545 8.935 10.247 90.53 58.71 101.47
Atoms (fractional coordinates):
Tm (0.000, 0.500, 0.500)
Ac (0.500, 0.000, 0.000)
Y (0.344, 0.877, 0.396)
Y (0.382, 0.396, 0.877)
Tm (0.263, 0.737, 0.737)
Y (0.656, 0.123, 0.604)
Y (0.618, 0.604, 0.123)
Tm (0.737, 0.263, 0.263)


5.
A plane-wave DFT calculation with PBE was carried out for a geometry-optimized CsLiNF2 structure.

Total energy   -3.20 eV per atom

Lattice parameters (Å, degrees): 5.341 5.341 4.761 90.00 90.00 90.00
Each line ends with the local moment (μB).
Atoms (fractional coordinates):
Cs (0.000, 0.000, 0.000)  0.12
N (0.000, 0.000, 0.500)  1.17
Li (0.500, 0.500, 0.500)  0.00
F (0.000, 0.500, 0.000)  0.07
F (0.500, 0.000, 0.000)  0.07


6.
A plane-wave DFT calculation with PBE was carried out for a geometry-optimized YCu2Si2 structure.

Total energy   -5.51 eV per atom

Lattice parameters (Å, degrees): 4.022 4.022 5.726 69.44 69.44 90.00
Atoms (fractional coordinates):
Cu (0.622, 0.622, 0.757)
Y (0.000, 0.000, 0.000)
Si (0.250, 0.750, 0.500)
Si (0.750, 0.250, 0.500)
Cu (0.378, 0.378, 0.243)


7.
A plane-wave DFT calculation with PBE was carried out for a geometry-optimized Ac8Pm6Ho structure.

Energy relative to the elements   0.233 eV per atom

Lattice parameters (Å, degrees): 7.258 10.004 10.004 120.00 90.00 90.00
Atoms (fractional coordinates):
Ac (0.119, 0.305, 0.351)
Ac (0.881, 0.954, 0.305)
Pm (0.600, 0.958, 0.629)
Pm (0.400, 0.629, 0.671)
Ac (0.881, 0.695, 0.649)
Ac (0.881, 0.351, 0.046)
Ac (0.119, 0.046, 0.695)
Pm (0.600, 0.671, 0.042)
Ho (0.500, 0.000, 0.000)
Ac (0.119, 0.649, 0.954)
Ac (0.264, 0.667, 0.333)
Ac (0.736, 0.333, 0.667)
Pm (0.600, 0.371, 0.329)
Pm (0.400, 0.329, 0.958)
Pm (0.400, 0.042, 0.371)


8.
A plane-wave DFT calculation with PBE was carried out for a geometry-optimized Cr2IrW structure.

Energy relative to the elements   0.106 eV per atom

Lattice parameters (Å, degrees): 2.666 3.747 5.496 90.00 90.00 90.00
Atoms (fractional coordinates):
W (0.500, 0.500, 0.750)
Cr (0.000, 0.000, 0.489)
Ir (0.500, 0.500, 0.250)
Cr (0.000, 0.000, 0.011)


9.
A plane-wave DFT calculation with PBE was carried out for a geometry-optimized TmSnPd structure.

Energy relative to the elements   -0.588 eV per atom

Lattice parameters (Å, degrees): 3.830 3.830 5.318 111.11 111.11 90.00
Atoms (fractional coordinates):
Pd (0.962, 0.962, 0.925)
Sn (0.283, 0.283, 0.566)
Tm (0.605, 0.605, 0.209)


10.
A plane-wave DFT calculation with PBE was carried out for a geometry-optimized CsMoCl6 structure.

Total energy   -4.00 eV per atom

Lattice parameters (Å, degrees): 6.667 7.024 12.753 101.19 90.00 118.33
Each line ends with the local moment (μB).
Atoms (fractional coordinates):
Cl (0.044, 0.836, 0.604)  0.00
Cl (0.302, 0.427, 0.153)  0.01
Cl (0.126, 0.427, 0.653)  0.01
Mo (0.500, 0.500, 0.000)  0.87
Cl (0.619, 0.315, 0.540)  0.00
Mo (0.000, 0.500, 0.500)  0.87
Cl (0.209, 0.164, 0.896)  0.00
Cl (0.698, 0.573, 0.847)  0.01
Cl (0.791, 0.836, 0.104)  0.00
Cs (0.380, 0.000, 0.250)  0.00
Cl (0.381, 0.685, 0.460)  0.00
Cl (0.304, 0.685, 0.960)  0.00
Cl (0.874, 0.573, 0.347)  0.01
Cl (0.696, 0.315, 0.040)  0.00
Cs (0.620, 0.000, 0.750)  0.00
Cl (0.956, 0.164, 0.396)  0.00


11.
A plane-wave DFT calculation with PBE was carried out for a geometry-optimized Pm3Nd2Rh3 structure.

Energy relative to the elements   -0.490 eV per atom

Lattice parameters (Å, degrees): 3.655 5.273 10.927 103.96 99.63 90.00
Atoms (fractional coordinates):
Nd (0.278, 0.778, 0.557)
Nd (0.722, 0.222, 0.443)
Pm (0.500, 0.000, 0.000)
Rh (0.000, 0.500, 0.000)
Rh (0.114, 0.114, 0.229)
Rh (0.886, 0.886, 0.771)
Pm (0.390, 0.390, 0.780)
Pm (0.610, 0.610, 0.220)


12.
A plane-wave DFT calculation with PBE was carried out for a geometry-optimized Ho4ErAg2 structure.

Energy relative to the elements   0.169 eV per atom

Lattice parameters (Å, degrees): 5.052 5.052 10.054 75.45 75.45 60.00
Atoms (fractional coordinates):
Ho (0.893, 0.893, 0.320)
Ho (0.107, 0.107, 0.680)
Ag (0.399, 0.399, 0.804)
Ho (0.295, 0.295, 0.114)
Ag (0.601, 0.601, 0.196)
Ho (0.705, 0.705, 0.886)
Er (0.500, 0.500, 0.500)


13.
A plane-wave DFT calculation with PBE was carried out for a geometry-optimized RbYSi structure.

Total energy   -4.23 eV per atom

Lattice parameters (Å, degrees): 5.508 5.508 6.335 90.00 90.00 120.00
Atoms (fractional coordinates):
Si (0.667, 0.333, 0.750)
Y (0.333, 0.667, 0.750)
Rb (0.000, 0.000, 0.000)
Si (0.333, 0.667, 0.250)
Y (0.667, 0.333, 0.250)
Rb (0.000, 0.000, 0.500)


14.
A plane-wave DFT calculation with PBE was carried out for a geometry-optimized Ag2BiS structure.

Total energy   -3.23 eV per atom

Lattice parameters (Å, degrees): 6.914 6.914 6.472 57.71 57.71 90.00
Atoms (fractional coordinates):
S (0.500, 0.500, 0.000)
Ag (0.875, 0.829, 0.750)
Bi (0.000, 0.000, 0.000)
Ag (0.579, 0.125, 0.250)
Ag (0.171, 0.625, 0.250)
Bi (0.750, 0.250, 0.500)
Ag (0.375, 0.421, 0.750)
S (0.250, 0.750, 0.500)


15.
A plane-wave DFT calculation with PBE was carried out for a geometry-optimized Pr3Ho12Th structure.

Energy relative to the elements   0.026 eV per atom

Lattice parameters (Å, degrees): 5.039 5.039 20.167 90.00 90.00 90.00
Atoms (fractional coordinates):
Ho (0.500, 0.500, 0.751)
Ho (0.500, 0.500, 0.249)
Ho (0.500, 0.000, 0.122)
Pr (0.000, 0.000, 0.752)
Ho (0.500, 0.000, 0.374)
Ho (0.500, 0.000, 0.878)
Ho (0.000, 0.500, 0.878)
Ho (0.500, 0.500, 0.500)
Ho (0.000, 0.500, 0.374)
Th (0.000, 0.000, 0.000)
Ho (0.500, 0.000, 0.626)
Pr (0.000, 0.000, 0.248)
Ho (0.000, 0.500, 0.626)
Ho (0.500, 0.500, 0.000)
Pr (0.000, 0.000, 0.500)
Ho (0.000, 0.500, 0.122)


16.
A plane-wave DFT calculation with PBE was carried out for a geometry-optimized TiGa2Ni2 structure.

Energy relative to the elements   -0.376 eV per atom

Lattice parameters (Å, degrees): 7.071 7.071 2.687 90.00 90.00 90.00
Atoms (fractional coordinates):
Ni (0.370, 0.870, 0.000)
Ti (0.500, 0.500, 0.000)
Ga (0.333, 0.167, 0.500)
Ni (0.630, 0.130, 0.000)
Ni (0.870, 0.630, 0.000)
Ga (0.833, 0.333, 0.500)
Ga (0.167, 0.667, 0.500)
Ni (0.130, 0.370, 0.000)
Ti (0.000, 0.000, 0.000)
Ga (0.667, 0.833, 0.500)


17.
A plane-wave DFT calculation with PBE was carried out for a geometry-optimized KGe2Te4 structure.

Total energy   -3.50 eV per atom

Lattice parameters (Å, degrees): 8.719 7.231 9.818 116.88 110.77 85.73
Atoms (fractional coordinates):
Ge (0.032, 0.176, 0.657)
Te (0.765, 0.041, 0.683)
K (0.195, 0.680, 0.491)
Ge (0.534, 0.527, 0.320)
Te (0.240, 0.502, 0.058)
Te (0.901, 0.507, 0.608)
Te (0.449, 0.882, 0.930)
Te (0.917, 0.608, 0.105)
Ge (0.585, 0.871, 0.229)
Te (0.433, 0.216, 0.376)
Ge (0.665, 0.420, 0.711)
Te (0.902, 0.047, 0.310)
K (0.071, 0.986, 0.006)
Te (0.560, 0.289, 0.018)


18.
A plane-wave DFT calculation with PBE was carried out for a geometry-optimized TiV12Si6 structure.

Total energy   -8.16 eV per atom

Lattice parameters (Å, degrees): 7.066 7.066 7.066 110.98 110.98 110.98
Atoms (fractional coordinates):
V (0.517, 0.791, 0.662)
V (0.338, 0.483, 0.209)
V (0.884, 0.802, 0.261)
Si (0.658, 0.943, 0.437)
Si (0.563, 0.342, 0.057)
V (0.483, 0.209, 0.338)
V (0.198, 0.739, 0.116)
V (0.261, 0.884, 0.802)
V (0.791, 0.662, 0.517)
V (0.802, 0.261, 0.884)
Si (0.943, 0.437, 0.658)
Si (0.342, 0.057, 0.563)
Ti (0.000, 0.000, 0.000)
V (0.209, 0.338, 0.483)
V (0.662, 0.517, 0.791)
Si (0.437, 0.658, 0.943)
V (0.739, 0.116, 0.198)
V (0.116, 0.198, 0.739)
Si (0.057, 0.563, 0.342)


19.
A plane-wave DFT calculation with PBE was carried out for a geometry-optimized CaCl2 structure.

Total energy   -4.30 eV per atom

Lattice parameters (Å, degrees): 6.462 6.462 4.196 90.00 90.00 90.00
Atoms (fractional coordinates):
Cl (0.304, 0.304, 0.000)
Cl (0.196, 0.804, 0.500)
Ca (0.500, 0.500, 0.500)
Ca (0.000, 0.000, 0.000)
Cl (0.696, 0.696, 0.000)
Cl (0.804, 0.196, 0.500)


20.
A plane-wave DFT calculation with PBE was carried out for a geometry-optimized CuPH2 structure.

Total energy   -3.96 eV per atom

Lattice parameters (Å, degrees): 4.138 4.140 4.441 114.47 93.84 118.17
Atoms (fractional coordinates):
Cu (0.010, 0.892, 0.252)
P (0.414, 0.487, 0.250)
H (0.369, 0.796, 0.522)
H (0.173, 0.456, 0.973)


21.
A plane-wave DFT calculation with PBE was carried out for a geometry-optimized TaSnAu structure.

Energy relative to the elements   0.207 eV per atom

Lattice parameters (Å, degrees): 2.969 4.748 4.748 120.00 90.00 90.00
Atoms (fractional coordinates):
Au (0.501, 0.333, 0.667)
Sn (0.499, 0.667, 0.333)
Ta (0.000, 0.000, 0.000)


22.
A plane-wave DFT calculation with PBE was carried out for a geometry-optimized ZrMn3P structure.

Energy relative to the elements   1.591 eV per atom

Lattice parameters (Å, degrees): 4.758 4.758 4.758 90.00 90.00 90.00
Each line ends with the local moment (μB).
Atoms (fractional coordinates):
Mn (0.000, 0.500, 0.000)  3.26
P (0.500, 0.500, 0.500)  -0.03
Mn (0.000, 0.000, 0.500)  3.03
Zr (0.000, 0.000, 0.000)  -0.81
Mn (0.500, 0.000, 0.000)  3.68


23.
A plane-wave DFT calculation with PBE was carried out for a geometry-optimized KSeCl2 structure.

Total energy   -2.65 eV per atom

Lattice parameters (Å, degrees): 4.049 7.380 4.006 90.00 90.00 90.00
Each line ends with the local moment (μB).
Atoms (fractional coordinates):
K (0.500, 0.000, 0.500)  0.00
Cl (0.000, 0.000, 0.000)  0.02
Se (0.000, 0.500, 0.500)  0.06
Cl (0.500, 0.500, 0.000)  0.01


24.
A plane-wave DFT calculation with PBE was carried out for a geometry-optimized PuThMgAl structure.

Energy relative to the elements   0.017 eV per atom

Lattice parameters (Å, degrees): 5.252 5.252 5.252 60.00 60.00 60.00
Each line ends with the local moment (μB).
Atoms (fractional coordinates):
Al (0.500, 0.500, 0.500)  -0.03
Pu (0.750, 0.750, 0.750)  5.36
Th (0.250, 0.250, 0.250)  0.12
Mg (0.000, 0.000, 0.000)  0.01